No. 1
# PBE AcCeTlPb, relaxed
# **Total moment**: 1.49 μB per formula unit
# **Offset from the most stable computed form**: 0.0 meV per atom
# **Electronic total energy**: -4.378 eV per atom
# **Energy of formation from the pure elements**: -349 meV per atom
data_AcCeTlPb
_chemical_formula_sum 'Ac1 Ce1 Tl1 Pb1'
_space_group_name_H-M_alt 'P 4 m m'
_space_group_IT_number 99
_cell_length_a 4.2496
_cell_length_b 4.2496
_cell_length_c 7.2076
_cell_angle_alpha 90.00
_cell_angle_beta 90.00
_cell_angle_gamma 90.00
loop_
_space_group_symop_operation_xyz
'x,y,z'
'-y,x,z'
'-x,-y,z'
'y,-x,z'
'-x,y,z'
'y,x,z'
'x,-y,z'
'-y,-x,z'
loop_
_atom_site_label
_atom_site_fract_x
_atom_site_fract_y
_atom_site_fract_z
Ac1 0.0000 0.0000 0.0000
Ce1 0.0000 0.0000 0.5089
Tl1 0.5000 0.5000 0.2726
Pb1 0.5000 0.5000 0.7306

---

No. 2
# PBE NaMg2CoH8, relaxed
# **Total moment**: 0.00 μB per formula unit
# **Electronic total energy**: -3.413 eV per atom
data_NaMg2CoH8
_chemical_formula_sum 'Na1 Mg2 Co1 H8'
_space_group_name_H-M_alt 'P -3 m 1'
_space_group_IT_number 164
_space_group_name_Hall '-P 3 2"'
_cell_length_a 4.3586
_cell_length_b 4.3586
_cell_length_c 6.9888
_cell_angle_alpha 90.00
_cell_angle_beta 90.00
_cell_angle_gamma 120.00
loop_
_atom_site_label
_atom_site_fract_x
_atom_site_fract_y
_atom_site_fract_z
Na1 0.0000 0.0000 0.0000
Mg1 0.3333 0.6667 0.3554
Co1 0.0000 0.0000 0.5000
H1 0.1610 0.3220 0.6311
H2 0.3333 0.6667 0.0986

---

No. 3
# PBE Sr6GaHg2, relaxed
# **Total moment**: 0.00 μB per formula unit
# **Electronic total energy**: -1.870 eV per atom
# **Energy of formation from the pure elements**: -345 meV per atom
data_Sr6GaHg2
_chemical_formula_sum 'Sr24 Ga4 Hg8'
_space_group_name_H-M_alt 'F m m m'
_space_group_IT_number 69
_space_group_name_Hall '-F 2 2'
_cell_length_a 5.6975
_cell_length_b 14.3225
_cell_length_c 17.0473
_cell_angle_alpha 90.00
_cell_angle_beta 90.00
_cell_angle_gamma 90.00
loop_
_atom_site_label
_atom_site_fract_x
_atom_site_fract_y
_atom_site_fract_z
Sr1 0.0000 0.1324 0.0000
Sr2 0.0000 0.1337 0.3355
Ga1 0.0000 0.0000 0.5000
Hg1 0.0000 0.0000 0.1658

---

No. 4
# PBE MgNbBi3, relaxed
# **Total moment**: 0.00 μB per formula unit
# **Offset from the most stable computed form**: 748.5 meV per atom
# **Electronic total energy**: -3.481 eV per atom
# **Energy of formation from the pure elements**: 1181 meV per atom
data_MgNbBi3
_chemical_formula_sum 'Mg1 Nb1 Bi3'
_space_group_name_H-M_alt 'P m -3 m'
_space_group_IT_number 221
_space_group_name_Hall '-P 4 2 3'
_cell_length_a 5.3648
_cell_length_b 5.3648
_cell_length_c 5.3648
_cell_angle_alpha 90.00
_cell_angle_beta 90.00
_cell_angle_gamma 90.00
loop_
_atom_site_label
_atom_site_fract_x
_atom_site_fract_y
_atom_site_fract_z
Mg1 0.0000 0.0000 0.0000
Nb1 0.5000 0.5000 0.5000
Bi1 0.0000 0.0000 0.5000

---

No. 5
# PBE La2Pr3Sn2, relaxed
# **Total moment**: 0.00 μB per formula unit
# **Offset from the most stable computed form**: 104.4 meV per atom
# **Electronic total energy**: -4.921 eV per atom
# **Energy of formation from the pure elements**: -321 meV per atom
data_La2Pr3Sn2
_chemical_formula_sum 'La4 Pr6 Sn4'
_space_group_name_H-M_alt 'C 1 2/m 1'
_space_group_IT_number 12
_cell_length_a 17.4200
_cell_length_b 3.6213
_cell_length_c 8.3472
_cell_angle_alpha 90.00
_cell_angle_beta 116.58
_cell_angle_gamma 90.00
loop_
_space_group_symop_operation_xyz
'x,y,z'
'-x,-y,-z'
'-x,y,-z'
'x,-y,z'
'x+1/2,y+1/2,z'
'-x+1/2,-y+1/2,-z'
'-x+1/2,y+1/2,-z'
'x+1/2,-y+1/2,z'
loop_
_atom_site_label
_atom_site_fract_x
_atom_site_fract_y
_atom_site_fract_z
La1 0.1085 0.0000 0.4717
Pr1 0.0000 0.0000 0.0000
Pr2 0.2120 0.0000 0.1488
Sn1 0.0834 0.5000 0.7820

---

No. 6
# PBE AcYAl4, relaxed
# **Total moment**: 0.00 μB per formula unit
# **Offset from the most stable computed form**: 0.0 meV per atom
# **Electronic total energy**: -4.654 eV per atom
# **Energy of formation from the pure elements**: -396 meV per atom
data_AcYAl4
_chemical_formula_sum 'Ac4 Y4 Al16'
_space_group_name_H-M_alt 'F -4 3 m'
_space_group_IT_number 216
_space_group_name_Hall 'F -4 2 3'
_cell_length_a 8.1421
_cell_length_b 8.1421
_cell_length_c 8.1421
_cell_angle_alpha 90.00
_cell_angle_beta 90.00
_cell_angle_gamma 90.00
loop_
_atom_site_label
_atom_site_fract_x
_atom_site_fract_y
_atom_site_fract_z
Ac1 0.0000 0.0000 0.0000
Y1 0.2500 0.2500 0.2500
Al1 0.1248 0.1248 0.6248

---

No. 7
# PBE MnSiSnIrS, relaxed
# **Energy relative to the elements, uncorrected**: -0.102 eV per atom
# **Total moment**: 0.00 μB per formula unit
# **Offset from the most stable computed form**: 256.7 meV per atom
# **Electronic total energy**: -6.419 eV per atom
data_MnSiSnIrS
_chemical_formula_sum 'Mn1 Si1 Sn1 Ir1 S1'
_space_group_name_H-M_alt 'P 1 m 1'
_space_group_IT_number 6
_cell_length_a 4.9156
_cell_length_b 2.9729
_cell_length_c 6.0205
_cell_angle_alpha 90.00
_cell_angle_beta 112.91
_cell_angle_gamma 90.00
loop_
_space_group_symop_operation_xyz
'x,y,z'
'x,-y,z'
loop_
_atom_site_label
_atom_site_fract_x
_atom_site_fract_y
_atom_site_fract_z
Mn1 0.0000 0.0000 0.0000
Si1 0.1810 0.5000 0.7809
Sn1 0.4471 0.5000 0.3441
Ir1 0.9840 0.0000 0.4473
S1 0.6608 0.5000 0.8575

---

No. 8
# PBE Nd2Sn4PdRh3, relaxed
# **Total moment**: 0.00 μB per formula unit
# **Electronic total energy**: -5.998 eV per atom
# **Energy of formation from the pure elements**: -719 meV per atom
data_Nd2Sn4PdRh3
_chemical_formula_sum 'Nd2 Sn4 Pd1 Rh3'
_space_group_name_H-M_alt 'P -4 m 2'
_space_group_IT_number 115
_cell_length_a 4.5678
_cell_length_b 4.5678
_cell_length_c 10.5604
_cell_angle_alpha 90.00
_cell_angle_beta 90.00
_cell_angle_gamma 90.00
loop_
_space_group_symop_operation_xyz
'x,y,z'
'y,-x,-z'
'-x,-y,z'
'-y,x,-z'
'-x,y,z'
'-y,-x,-z'
'x,-y,z'
'y,x,-z'
loop_
_atom_site_label
_atom_site_fract_x
_atom_site_fract_y
_atom_site_fract_z
Nd1 0.0000 0.5000 0.2494
Sn1 0.0000 0.0000 0.5000
Sn2 0.0000 0.5000 0.8712
Sn3 0.5000 0.5000 0.5000
Pd1 0.5000 0.5000 0.0000
Rh1 0.0000 0.0000 0.0000
Rh2 0.0000 0.5000 0.6283

---

No. 9
# PBE BaAg6F12, relaxed
# **Energy relative to the elements, uncorrected**: -1.361 eV per atom
# **Total moment**: 4.09 μB per formula unit
# **Offset from the most stable computed form**: 181.5 meV per atom
# **Electronic total energy**: -3.545 eV per atom
data_BaAg6F12
_chemical_formula_sum 'Ba2 Ag12 F24'
_space_group_name_H-M_alt 'I m -3'
_space_group_IT_number 204
_space_group_name_Hall '-I 2 2 3'
_cell_length_a 8.6284
_cell_length_b 8.6284
_cell_length_c 8.6284
_cell_angle_alpha 90.00
_cell_angle_beta 90.00
_cell_angle_gamma 90.00
loop_
_atom_site_label
_atom_site_fract_x
_atom_site_fract_y
_atom_site_fract_z
Ba1 0.0000 0.0000 0.0000
Ag1 0.0000 0.3329 0.5000
F1 0.0000 0.1514 0.3253

---

No. 10
# PBE Zr3ScSb, relaxed
# **Energy relative to the elements, uncorrected**: 0.536 eV per atom
# **Total moment**: 0.00 μB per formula unit
# **Offset from the most stable computed form**: 0.0 meV per atom
# **Electronic total energy**: -6.684 eV per atom
data_Zr3ScSb
_chemical_formula_sum 'Zr3 Sc1 Sb1'
_space_group_name_H-M_alt 'P m -3 m'
_space_group_IT_number 221
_space_group_name_Hall '-P 4 2 3'
_cell_length_a 5.3025
_cell_length_b 5.3025
_cell_length_c 5.3025
_cell_angle_alpha 90.00
_cell_angle_beta 90.00
_cell_angle_gamma 90.00
loop_
_atom_site_label
_atom_site_fract_x
_atom_site_fract_y
_atom_site_fract_z
Zr1 0.0000 0.0000 0.5000
Sc1 0.5000 0.5000 0.5000
Sb1 0.0000 0.0000 0.0000

---

No. 11
# PBE CoNiIr2, relaxed
# **Total moment**: 0.90 μB per formula unit
# **Offset from the most stable computed form**: 0.0 meV per atom
# **Electronic total energy**: -7.647 eV per atom
# **Energy of formation from the pure elements**: 5 meV per atom
data_CoNiIr2
_chemical_formula_sum 'Co2 Ni2 Ir4'
_space_group_name_H-M_alt 'I -4 m 2'
_space_group_IT_number 119
_space_group_name_Hall 'I -4 -2'
_cell_length_a 3.6648
_cell_length_b 3.6648
_cell_length_c 7.5543
_cell_angle_alpha 90.00
_cell_angle_beta 90.00
_cell_angle_gamma 90.00
loop_
_atom_site_label
_atom_site_fract_x
_atom_site_fract_y
_atom_site_fract_z
Co1 0.0000 0.0000 0.0000
Ni1 0.0000 0.5000 0.2500
Ir1 0.0000 0.0000 0.5000
Ir2 0.0000 0.5000 0.7500

---

No. 12
# PBE NaScTe2N, relaxed
# **Energy relative to the elements, uncorrected**: 0.710 eV per atom
# **Total moment**: 2.72 μB per formula unit
# **Offset from the most stable computed form**: 911.5 meV per atom
# **Electronic total energy**: -3.742 eV per atom
data_NaScTe2N
_chemical_formula_sum 'Na1 Sc1 Te2 N1'
_space_group_name_H-M_alt 'P 4/m m m'
_space_group_IT_number 123
_space_group_name_Hall '-P 4 2'
_cell_length_a 5.5408
_cell_length_b 5.5408
_cell_length_c 4.2043
_cell_angle_alpha 90.00
_cell_angle_beta 90.00
_cell_angle_gamma 90.00
loop_
_atom_site_label
_atom_site_fract_x
_atom_site_fract_y
_atom_site_fract_z
Na1 0.0000 0.0000 0.0000
Sc1 0.5000 0.5000 0.5000
Te1 0.0000 0.5000 0.0000
N1 0.0000 0.0000 0.5000